Density functional theory data (PBE) for an optimized crystal structure of La2Nd2CoPd2.

Crystal system ... monoclinic
Space group ... C2/m, No. 12
DFT formation energy ... -0.4313 eV per atom

Cell lengths 7.6022, 7.6022, 7.2622 Å; angles 118.45, 118.45, 31.47 degrees
Atoms (fractional coordinates):
La (0.2116, 0.2116, 0.2122)
La (0.7884, 0.7884, 0.7878)
Nd (0.4995, 0.4995, 0.2598)
Nd (0.5005, 0.5005, 0.7402)
Co (0.0000, 0.0000, 0.0000)
Pd (0.1236, 0.1236, 0.6224)
Pd (0.8764, 0.8764, 0.3776)

***

Density functional theory data (PBE) for an optimized crystal structure of LaPmNdCo.

Crystal system ... orthorhombic
Space group ... Amm2, No. 38
DFT formation energy ... 0.0316 eV per atom

Cell lengths 3.6680, 6.8780, 6.8780 Å; angles 42.27, 90.00, 90.00 degrees
Atoms (fractional coordinates):
La (0.0000, 0.0000, 0.0000)
Pm (0.5000, 0.3367, 0.3367)
Nd (0.5000, 0.6497, 0.6497)
Co (0.0000, 0.8147, 0.8147)

***

Density functional theory data (PBE) for an optimized crystal structure of LaNdCoPt.

Crystal system ... cubic
Space group ... F-43m, No. 216
DFT formation energy ... -0.4840 eV per atom

Cell lengths 5.0434, 5.0434, 5.0434 Å; angles 60.00, 60.00, 60.00 degrees
Atoms (fractional coordinates):
La (0.0000, 0.0000, 0.0000)
Nd (0.5000, 0.5000, 0.5000)
Co (0.2500, 0.2500, 0.2500)
Pt (0.7500, 0.7500, 0.7500)

***

Density functional theory data (PBE) for an optimized crystal structure of LaNdCoRh.

Crystal system ... cubic
Space group ... F-43m, No. 216
DFT formation energy ... -0.2885 eV per atom

Cell lengths 5.0033, 5.0033, 5.0033 Å; angles 60.00, 60.00, 60.00 degrees
Atoms (fractional coordinates):
La (0.0000, 0.0000, 0.0000)
Nd (0.5000, 0.5000, 0.5000)
Co (0.2500, 0.2500, 0.2500)
Rh (0.7500, 0.7500, 0.7500)

***

Question: What is the DFT formation energy in the fourth record?
Answer: -0.2885 eV per atom

***

Question: What is the DFT formation energy in the first record?
Answer: -0.4313 eV per atom